<P>
First-principles (PBE-GGA) data for a relaxed Cs2K9Rb crystal, as listed in the Alexandria database.

Cell lengths 6.8507, 6.8507, 20.4915 Å; angles 90.00, 90.00, 90.00 degrees
Closest atoms and distances in Å follow each position.
Space group P4/mmm (No. 123)
Unique sites:
1 Cs 0.0000 0.0000 0.1708  12 K 4.84-4.90
2 K 0.0000 0.5000 0.0000  8 K 4.84-4.89, 4 Cs 4.90
3 K 0.0000 0.5000 0.3408  8 K 4.73-4.89, 2 Rb 4.73, 2 Cs 4.89
4 K 0.5000 0.5000 0.1704  4 Cs 4.84, 8 K 4.89
5 K 0.5000 0.5000 0.5000  8 K 4.73, 4 Rb 4.84
6 Rb 0.0000 0.0000 0.5000  12 K 4.73-4.84

## Properties
Fermi-level density of states (states/eV per cell): 9.98

=====

<Q>
First-principles (PBE-GGA) data for a relaxed Cs2K9Rb crystal, as listed in the Alexandria database.

Cell lengths 8.8547, 8.8547, 44.4640 Å; angles 90.00, 90.00, 120.00 degrees
Closest atoms and distances in Å follow each position.
Space group R-3m (No. 166, hexagonal axes)
Unique sites:
1 Cs 0.0000 0.0000 0.1432  12 K 5.15-5.36, 3 Cs 5.52
2 K 0.0000 0.0000 0.3339  6 K 4.52-4.53
3 K 0.0000 0.0000 0.5000  6 K 4.49
4 K 0.0033 0.5017 0.9160  7 K 4.38-4.53
5 Rb 0.0000 0.0000 0.0000  6 K 5.11

## Properties
Fermi-level density of states (states/eV per cell): 27.86

=====

Here is how they stack up, most stable first: <P>, <Q>.